[1]
Entry from Alexandria via LeMat-Bulk: a geometry-optimized Na3NiI structure (PBE).

```
Na3NiI
1.0
5.845 0.000 0.000
0.000 5.845 0.000
0.000 0.000 5.845
Na Ni I
3 1 1
Direct
0.000 0.000 0.500 Na
0.000 0.500 0.000 Na
0.500 0.000 0.000 Na
0.500 0.500 0.500 Ni
0.000 0.000 0.000 I
```

E above lowest polymorph ... 252 meV per atom
Energy relative to the elements, uncorrected ... 0.2825 eV/atom

[2]
Entry from Alexandria via LeMat-Bulk: a geometry-optimized NaNiI structure (PBE).

```
NaNiI
1.0
4.296 0.000 0.000
-2.148 3.721 0.000
0.000 0.000 4.453
Na Ni I
1 1 1
Direct
0.000 0.000 0.000 Na
0.333 0.667 0.500 Ni
0.667 0.333 0.500 I
```

E above lowest polymorph ... 84 meV per atom
Energy relative to the elements, uncorrected ... -0.1481 eV/atom

[3]
Entry from Alexandria via LeMat-Bulk: a geometry-optimized NaNiI structure (PBE).

```
NaNiI
1.0
4.583 0.000 0.000
0.000 5.070 0.000
-2.277 0.000 7.064
Na Ni I
2 2 2
Direct
0.000 0.000 0.000 Na
0.205 0.500 0.414 Na
0.602 0.250 0.207 Ni
0.602 0.750 0.207 Ni
0.458 0.500 0.914 I
0.749 0.000 0.500 I
```

E above lowest polymorph ... 6 meV per atom
Energy relative to the elements, uncorrected ... -0.2259 eV/atom

[4]
Entry from Alexandria via LeMat-Bulk: a geometry-optimized NaNi2I structure (PBE).

```
NaNi2I
1.0
-2.446 2.446 8.251
2.446 -2.446 8.251
2.446 2.446 -8.251
Na Ni I
2 4 2
Direct
0.375 0.625 0.750 Na
0.625 0.375 0.250 Na
0.000 0.000 0.000 Ni
0.000 0.000 0.500 Ni
0.000 0.500 0.000 Ni
0.500 0.000 0.500 Ni
0.125 0.875 0.250 I
0.875 0.125 0.750 I
```

E above lowest polymorph ... 0 meV per atom
Energy relative to the elements, uncorrected ... 0.3512 eV/atom

[5]
Entry from Alexandria via LeMat-Bulk: a geometry-optimized NaNiI structure (PBE).

```
NaNiI
1.0
4.131 0.000 0.000
0.002 4.852 0.000
2.047 0.923 8.622
Na Ni I
2 2 2
Direct
0.000 0.000 0.000 Na
0.208 0.623 0.576 Na
0.323 0.133 0.344 Ni
0.821 0.886 0.349 Ni
0.569 0.540 0.856 I
0.848 0.412 0.293 I
```

E above lowest polymorph ... 59 meV per atom
Energy relative to the elements, uncorrected ... -0.1730 eV/atom

[6]
Entry from Alexandria via LeMat-Bulk: a geometry-optimized NaNiI structure (PBE).

```
NaNiI
1.0
9.462 0.000 0.000
0.000 4.205 0.000
0.000 0.000 7.747
Na Ni I
4 4 4
Direct
0.229 0.250 0.072 Na
0.271 0.750 0.572 Na
0.729 0.250 0.428 Na
0.771 0.750 0.928 Na
0.026 0.250 0.425 Ni
0.474 0.750 0.925 Ni
0.526 0.250 0.075 Ni
0.974 0.750 0.575 Ni
0.006 0.750 0.241 I
0.494 0.250 0.741 I
0.506 0.750 0.259 I
0.994 0.250 0.759 I
```

E above lowest polymorph ... 59 meV per atom
Energy relative to the elements, uncorrected ... -0.1729 eV/atom

[7]
Entry from Alexandria via LeMat-Bulk: a geometry-optimized Na3NiI structure (PBE).

```
Na3NiI
1.0
5.407 0.000 0.000
0.000 5.407 0.000
0.000 0.000 5.407
Na Ni I
3 1 1
Direct
0.000 0.000 0.500 Na
0.000 0.500 0.000 Na
0.500 0.000 0.000 Na
0.000 0.000 0.000 Ni
0.500 0.500 0.500 I
```

E above lowest polymorph ... 0 meV per atom
Energy relative to the elements, uncorrected ... 0.0302 eV/atom

[8]
Entry from Alexandria via LeMat-Bulk: a geometry-optimized NaNiI structure (PBE).

```
NaNiI
1.0
4.127 0.000 0.000
0.005 4.834 0.000
0.022 1.849 8.368
Na Ni I
2 2 2
Direct
0.000 0.000 0.000 Na
0.002 0.354 0.449 Na
0.002 0.543 0.741 Ni
0.502 0.291 0.736 Ni
0.502 0.830 0.670 I
0.503 0.447 0.168 I
```

E above lowest polymorph ... 48 meV per atom
Energy relative to the elements, uncorrected ... -0.1839 eV/atom

[9]
Entry from Alexandria via LeMat-Bulk: a geometry-optimized Na3NiI6 structure (PBE).

```
Na3NiI6
1.0
7.578 0.000 0.000
0.000 8.310 0.000
-6.595 0.000 10.989
Na Ni I
6 2 12
Direct
0.000 0.000 0.000 Na
0.000 0.500 0.500 Na
0.189 0.087 0.730 Na
0.189 0.413 0.230 Na
0.811 0.587 0.770 Na
0.811 0.913 0.270 Na
0.500 0.000 0.500 Ni
0.500 0.500 0.000 Ni
0.179 0.166 0.461 I
0.179 0.334 0.961 I
0.242 0.710 0.412 I
0.242 0.790 0.912 I
0.417 0.066 0.279 I
0.417 0.434 0.779 I
0.583 0.566 0.221 I
0.583 0.934 0.721 I
0.758 0.210 0.088 I
0.758 0.290 0.588 I
0.821 0.666 0.039 I
0.821 0.834 0.539 I
```

Energy relative to the elements, uncorrected ... -0.6913 eV/atom

[10]
Entry from Alexandria via LeMat-Bulk: a geometry-optimized NaNiI structure (PBE).

```
NaNiI
1.0
3.853 0.000 0.000
1.925 5.840 0.000
1.921 0.784 7.033
Na Ni I
2 2 2
Direct
0.019 0.204 0.257 Na
0.981 0.796 0.743 Na
0.257 0.581 0.404 Ni
0.743 0.419 0.596 Ni
0.240 0.235 0.785 I
0.760 0.765 0.215 I
```

E above lowest polymorph ... 67 meV per atom
Energy relative to the elements, uncorrected ... -0.1646 eV/atom

[11]
Entry from Alexandria via LeMat-Bulk: a geometry-optimized NaNi2I structure (PBE).

```
NaNi2I
1.0
0.000 3.202 3.202
3.202 0.000 3.202
3.202 3.202 0.000
Na Ni I
1 2 1
Direct
0.000 0.000 0.000 Na
0.250 0.250 0.250 Ni
0.750 0.750 0.750 Ni
0.500 0.500 0.500 I
```

E above lowest polymorph ... 183 meV per atom
Energy relative to the elements, uncorrected ... 0.5343 eV/atom

[12]
Entry from Alexandria via LeMat-Bulk: a geometry-optimized NaNiI structure (PBE).

```
NaNiI
1.0
1.881 -5.161 0.000
1.881 5.161 0.000
0.000 0.000 7.591
Na Ni I
2 2 2
Direct
0.241 0.759 0.750 Na
0.759 0.241 0.250 Na
0.031 0.969 0.250 Ni
0.969 0.031 0.750 Ni
0.500 0.500 0.000 I
0.500 0.500 0.500 I
```

E above lowest polymorph ... 307 meV per atom
Energy relative to the elements, uncorrected ... 0.0754 eV/atom

We obtain uncorrected energy values of -1.975 -3.032 -3.109 -3.257 -3.056 -3.056 -2.227 -3.067 -2.595 -3.048 -3.074 -2.808 eV/atom for the records listed above, in that order.